# Tb2MgTe4 | the Alexandria database | GGA-PBE | relaxed
data_Tb2MgTe4
_chemical_formula_sum 'Tb4 Mg2 Te8'
_space_group_name_H-M_alt 'C 1 2/m 1'
_space_group_IT_number 12
_space_group_name_Hall '-C 2y'
_cell_length_a 15.9173
_cell_length_b 4.3386
_cell_length_c 7.5878
_cell_angle_alpha 90.00
_cell_angle_beta 118.15
_cell_angle_gamma 90.00
loop_
_atom_site_label
_atom_site_fract_x
_atom_site_fract_y
_atom_site_fract_z
_atom_site_occupancy
Tb1 0.2387 0.0000 0.2258 1
Mg1 0.0000 0.5000 0.5000 1
Te1 0.1154 0.5000 0.9373 1
Te2 0.1266 0.0000 0.4703 1
# - ΔE_f (raw): -1.2430 eV per atom



# PmAgAsAu | the Alexandria database | GGA-PBE | relaxed
data_PmAgAsAu
_chemical_formula_sum 'Pm4 Ag4 As4 Au4'
_space_group_name_H-M_alt 'F -4 3 m'
_space_group_IT_number 216
_space_group_name_Hall 'F -4 2 3'
_cell_length_a 7.0350
_cell_length_b 7.0350
_cell_length_c 7.0350
_cell_angle_alpha 90.00
_cell_angle_beta 90.00
_cell_angle_gamma 90.00
loop_
_atom_site_label
_atom_site_fract_x
_atom_site_fract_y
_atom_site_fract_z
_atom_site_occupancy
Pm1 0.0000 0.0000 0.0000 1
Ag1 0.0000 0.0000 0.5000 1
As1 0.2500 0.2500 0.2500 1
Au1 0.2500 0.2500 0.7500 1
# - Calculated formation energy: -0.58 eV/atom



# Y2MnZn3Cu12 | the Alexandria database | GGA-PBE | relaxed
data_Y2MnZn3Cu12
_chemical_formula_sum 'Y6 Mn3 Zn9 Cu36'
_space_group_name_H-M_alt 'R -3 m'
_space_group_IT_number 166
_space_group_name_Hall '-R 3 2"'
_cell_length_a 6.1393
_cell_length_b 6.1393
_cell_length_c 26.9714
_cell_angle_alpha 90.00
_cell_angle_beta 90.00
_cell_angle_gamma 120.00
loop_
_atom_site_label
_atom_site_fract_x
_atom_site_fract_y
_atom_site_fract_z
_atom_site_occupancy
Y1 0.0000 0.0000 0.1470 1
Mn1 0.0000 0.0000 0.5000 1
Zn1 0.0000 0.5000 0.0000 1
Cu1 0.0265 0.5133 0.0985 1
Cu2 0.0744 0.5372 0.6178 1
# - Calculated formation energy: 0.15 eV/atom



# Ce3SiRh4 | the Alexandria database | GGA-PBE | relaxed
data_Ce3SiRh4
_chemical_formula_sum 'Ce6 Si2 Rh8'
_space_group_name_H-M_alt 'I m m 2'
_space_group_IT_number 44
_space_group_name_Hall 'I 2 -2'
_cell_length_a 5.7364
_cell_length_b 9.0603
_cell_length_c 5.9557
_cell_angle_alpha 90.00
_cell_angle_beta 90.00
_cell_angle_gamma 90.00
loop_
_atom_site_label
_atom_site_fract_x
_atom_site_fract_y
_atom_site_fract_z
_atom_site_occupancy
Ce1 0.0000 0.0000 0.0000 1
Ce2 0.0000 0.2939 0.7366 1
Si1 0.0000 0.5000 0.3259 1
Rh1 0.0000 0.2396 0.2548 1
Rh2 0.2411 0.0000 0.5081 1
# - ΔE_f (raw): -0.7134 eV per atom



# HgAu2I8 | the Alexandria database | GGA-PBE | relaxed
data_HgAu2I8
_chemical_formula_sum 'Hg2 Au4 I16'
_space_group_name_H-M_alt 'C 1 2/m 1'
_space_group_IT_number 12
_space_group_name_Hall '-C 2y'
_cell_length_a 17.1049
_cell_length_b 10.6815
_cell_length_c 5.8075
_cell_angle_alpha 90.00
_cell_angle_beta 92.24
_cell_angle_gamma 90.00
loop_
_atom_site_label
_atom_site_fract_x
_atom_site_fract_y
_atom_site_fract_z
_atom_site_occupancy
Hg1 0.0000 0.0000 0.0000 1
Au1 0.1964 0.0000 0.6153 1
I1 0.0517 0.5000 0.1929 1
I2 0.1089 0.1815 0.7966 1
I3 0.1824 0.5000 0.6363 1
# - ΔE_f (raw): -0.0056 eV per atom



# NbCd | the Alexandria database | GGA-PBE | relaxed
data_NbCd
_chemical_formula_sum 'Nb8 Cd8'
_space_group_name_H-M_alt 'I -4 3 m'
_space_group_IT_number 217
_space_group_name_Hall 'I -4 2 3'
_cell_length_a 8.9212
_cell_length_b 8.9212
_cell_length_c 8.9212
_cell_angle_alpha 90.00
_cell_angle_beta 90.00
_cell_angle_gamma 90.00
loop_
_atom_site_label
_atom_site_fract_x
_atom_site_fract_y
_atom_site_fract_z
_atom_site_occupancy
Nb1 0.1030 0.1030 0.1030 1
Cd1 0.2037 0.2037 0.7963 1
# - Calculated formation energy: 1.17 eV/atom



# HfTl2TcO6 | the Alexandria database | GGA-PBE | relaxed
data_HfTl2TcO6
_chemical_formula_sum 'Hf4 Tl8 Tc4 O24'
_space_group_name_H-M_alt 'F m -3 m'
_space_group_IT_number 225
_space_group_name_Hall '-F 4 2 3'
_cell_length_a 8.1444
_cell_length_b 8.1444
_cell_length_c 8.1444
_cell_angle_alpha 90.00
_cell_angle_beta 90.00
_cell_angle_gamma 90.00
loop_
_atom_site_label
_atom_site_fract_x
_atom_site_fract_y
_atom_site_fract_z
_atom_site_occupancy
Hf1 0.0000 0.0000 0.0000 1
Tl1 0.2500 0.2500 0.2500 1
Tc1 0.0000 0.0000 0.5000 1
O1 0.0000 0.0000 0.2604 1
# - ΔE_f (raw): -1.7384 eV per atom



# Li2Mg | the Alexandria database | GGA-PBE | relaxed
data_Li2Mg
_chemical_formula_sum 'Li12 Mg6'
_space_group_name_H-M_alt 'R 3 2'
_space_group_IT_number 155
_space_group_name_Hall 'R 3 2"'
_cell_length_a 5.3147
_cell_length_b 5.3147
_cell_length_c 15.1686
_cell_angle_alpha 90.00
_cell_angle_beta 90.00
_cell_angle_gamma 120.00
loop_
_atom_site_label
_atom_site_fract_x
_atom_site_fract_y
_atom_site_fract_z
_atom_site_occupancy
Li1 0.0000 0.0000 0.0000 1
Li2 0.0000 0.6672 0.5000 1
Mg1 0.0000 0.0000 0.3331 1
# - Calculated formation energy: -0.03 eV/atom



# Li4SmDy3S8 | the Alexandria database | GGA-PBE | relaxed
data_Li4SmDy3S8
_chemical_formula_sum 'Li12 Sm3 Dy9 S24'
_space_group_name_H-M_alt 'R -3 m'
_space_group_IT_number 166
_space_group_name_Hall '-R 3 2"'
_cell_length_a 7.8742
_cell_length_b 7.8742
_cell_length_c 18.5548
_cell_angle_alpha 90.00
_cell_angle_beta 90.00
_cell_angle_gamma 120.00
loop_
_atom_site_label
_atom_site_fract_x
_atom_site_fract_y
_atom_site_fract_z
_atom_site_occupancy
Li1 0.0000 0.0000 0.0000 1
Li2 0.0000 0.5000 0.0000 1
Sm1 0.0000 0.0000 0.5000 1
Dy1 0.0000 0.5000 0.5000 1
S1 0.0000 0.0000 0.2499 1
S2 0.0048 0.5024 0.7494 1
# - ΔE_f (raw): -1.8377 eV per atom



# BaLiFe | the Alexandria database | GGA-PBE | relaxed
data_BaLiFe
_chemical_formula_sum 'Ba4 Li4 Fe4'
_space_group_name_H-M_alt 'F -4 3 m'
_space_group_IT_number 216
_space_group_name_Hall 'F -4 2 3'
_cell_length_a 7.3025
_cell_length_b 7.3025
_cell_length_c 7.3025
_cell_angle_alpha 90.00
_cell_angle_beta 90.00
_cell_angle_gamma 90.00
loop_
_atom_site_label
_atom_site_fract_x
_atom_site_fract_y
_atom_site_fract_z
_atom_site_occupancy
Ba1 0.0000 0.0000 0.0000 1
Li1 0.0000 0.0000 0.5000 1
Fe1 0.2500 0.2500 0.7500 1
# - Calculated formation energy: 0.79 eV/atom



# CsCoNi2P | the Alexandria database | GGA-PBE | relaxed
data_CsCoNi2P
_chemical_formula_sum 'Cs1 Co1 Ni2 P1'
_space_group_name_H-M_alt 'P 4/m m m'
_space_group_IT_number 123
_space_group_name_Hall '-P 4 2'
_cell_length_a 4.7081
_cell_length_b 4.7081
_cell_length_c 5.5229
_cell_angle_alpha 90.00
_cell_angle_beta 90.00
_cell_angle_gamma 90.00
loop_
_atom_site_label
_atom_site_fract_x
_atom_site_fract_y
_atom_site_fract_z
_atom_site_occupancy
Cs1 0.0000 0.0000 0.0000 1
Co1 0.5000 0.5000 0.5000 1
Ni1 0.0000 0.5000 0.0000 1
P1 0.0000 0.0000 0.5000 1
# - Calculated formation energy: 2.48 eV/atom



# Pr2DyHoEr2 | the Alexandria database | GGA-PBE | relaxed
data_Pr2DyHoEr2
_chemical_formula_sum 'Pr4 Dy2 Ho2 Er4'
_space_group_name_H-M_alt 'P m m a'
_space_group_IT_number 51
_space_group_name_Hall '-P 2a 2a'
_cell_length_a 7.0274
_cell_length_b 5.6592
_cell_length_c 9.8083
_cell_angle_alpha 90.00
_cell_angle_beta 90.00
_cell_angle_gamma 90.00
loop_
_atom_site_label
_atom_site_fract_x
_atom_site_fract_y
_atom_site_fract_z
_atom_site_occupancy
Pr1 0.0000 0.0000 0.0000 1
Pr2 0.2500 0.5000 0.1774 1
Dy1 0.2500 0.0000 0.6593 1
Ho1 0.0000 0.5000 0.5000 1
Er1 0.2500 0.0000 0.3337 1
Er2 0.2500 0.5000 0.8353 1
# - Calculated formation energy: 0.07 eV/atom



# PmY3Fe8 | the Alexandria database | GGA-PBE | relaxed
data_PmY3Fe8
_chemical_formula_sum 'Pm3 Y9 Fe24'
_space_group_name_H-M_alt 'R 3 m'
_space_group_IT_number 160
_space_group_name_Hall 'R 3 -2"'
_cell_length_a 5.1733
_cell_length_b 5.1733
_cell_length_c 25.3507
_cell_angle_alpha 90.00
_cell_angle_beta 90.00
_cell_angle_gamma 120.00
loop_
_atom_site_label
_atom_site_fract_x
_atom_site_fract_y
_atom_site_fract_z
_atom_site_occupancy
Pm1 0.0000 0.0000 0.0000 1
Y1 0.0000 0.0000 0.1252 1
Y2 0.0000 0.0000 0.5001 1
Y3 0.0000 0.0000 0.6248 1
Fe1 0.0000 0.0000 0.3119 1
Fe2 0.0000 0.0000 0.8130 1
Fe3 0.0012 0.5006 0.0634 1
Fe4 0.1673 0.3346 0.8949 1
# - Calculated formation energy: -0.04 eV/atom



# RhSI3 | the Alexandria database | GGA-PBE | relaxed
data_RhSI3
_chemical_formula_sum 'Rh1 S1 I3'
_space_group_name_H-M_alt 'P m -3 m'
_space_group_IT_number 221
_space_group_name_Hall '-P 4 2 3'
_cell_length_a 5.4943
_cell_length_b 5.4943
_cell_length_c 5.4943
_cell_angle_alpha 90.00
_cell_angle_beta 90.00
_cell_angle_gamma 90.00
loop_
_atom_site_label
_atom_site_fract_x
_atom_site_fract_y
_atom_site_fract_z
_atom_site_occupancy
Rh1 0.0000 0.0000 0.0000 1
S1 0.5000 0.5000 0.5000 1
I1 0.0000 0.5000 0.5000 1
# - ΔE_f (raw): 0.9487 eV per atom



# MgCoMo2 | the Alexandria database | GGA-PBE | relaxed
data_MgCoMo2
_chemical_formula_sum 'Mg1 Co1 Mo2'
_space_group_name_H-M_alt 'P 4/m m m'
_space_group_IT_number 123
_space_group_name_Hall '-P 4 2'
_cell_length_a 3.2812
_cell_length_b 3.2812
_cell_length_c 5.7726
_cell_angle_alpha 90.00
_cell_angle_beta 90.00
_cell_angle_gamma 90.00
loop_
_atom_site_label
_atom_site_fract_x
_atom_site_fract_y
_atom_site_fract_z
_atom_site_occupancy
Mg1 0.0000 0.0000 0.0000 1
Co1 0.0000 0.0000 0.5000 1
Mo1 0.5000 0.5000 0.2974 1
# - Calculated formation energy: 0.37 eV/atom



# KCdTc2 | the Alexandria database | GGA-PBE | relaxed
data_KCdTc2
_chemical_formula_sum 'K1 Cd1 Tc2'
_space_group_name_H-M_alt 'P 4/m m m'
_space_group_IT_number 123
_space_group_name_Hall '-P 4 2'
_cell_length_a 3.6550
_cell_length_b 3.6550
_cell_length_c 7.5143
_cell_angle_alpha 90.00
_cell_angle_beta 90.00
_cell_angle_gamma 90.00
loop_
_atom_site_label
_atom_site_fract_x
_atom_site_fract_y
_atom_site_fract_z
_atom_site_occupancy
K1 0.0000 0.0000 0.0000 1
Cd1 0.0000 0.0000 0.5000 1
Tc1 0.5000 0.5000 0.3541 1
# - Calculated formation energy: 1.06 eV/atom



# BeVAg | the Alexandria database | GGA-PBE | relaxed
data_BeVAg
_chemical_formula_sum 'Be2 V2 Ag2'
_space_group_name_H-M_alt 'P -1'
_space_group_IT_number 2
_space_group_name_Hall '-P 1'
_cell_length_a 2.7175
_cell_length_b 4.4135
_cell_length_c 6.8735
_cell_angle_alpha 83.07
_cell_angle_beta 78.73
_cell_angle_gamma 87.90
loop_
_atom_site_label
_atom_site_fract_x
_atom_site_fract_y
_atom_site_fract_z
_atom_site_occupancy
Be1 0.0661 0.1751 0.3737 1
V1 0.3948 0.3159 0.6452 1
Ag1 0.2882 0.7631 0.9270 1
# - Calculated formation energy: 0.20 eV/atom



# Al2PtPb | the Alexandria database | GGA-PBE | relaxed
data_Al2PtPb
_chemical_formula_sum 'Al2 Pt1 Pb1'
_space_group_name_H-M_alt 'P m m m'
_space_group_IT_number 47
_space_group_name_Hall '-P 2 2'
_cell_length_a 3.0554
_cell_length_b 3.2292
_cell_length_c 8.1450
_cell_angle_alpha 90.00
_cell_angle_beta 90.00
_cell_angle_gamma 90.00
loop_
_atom_site_label
_atom_site_fract_x
_atom_site_fract_y
_atom_site_fract_z
_atom_site_occupancy
Al1 0.0000 0.0000 0.1797 1
Pt1 0.5000 0.5000 0.0000 1
Pb1 0.0000 0.5000 0.5000 1
# - Calculated formation energy: -0.35 eV/atom



# BeZn2Tc | the Alexandria database | GGA-PBE | relaxed
data_BeZn2Tc
_chemical_formula_sum 'Be2 Zn4 Tc2'
_space_group_name_H-M_alt 'C 1 2/m 1'
_space_group_IT_number 12
_space_group_name_Hall '-C 2y'
_cell_length_a 5.0175
_cell_length_b 8.7369
_cell_length_c 2.5892
_cell_angle_alpha 90.00
_cell_angle_beta 112.44
_cell_angle_gamma 90.00
loop_
_atom_site_label
_atom_site_fract_x
_atom_site_fract_y
_atom_site_fract_z
_atom_site_occupancy
Be1 0.0000 0.0000 0.0000 1
Zn1 0.2500 0.2500 0.5000 1
Tc1 0.0000 0.5000 0.0000 1
# - Calculated formation energy: 0.10 eV/atom



# Cr3Co13 | the Alexandria database | GGA-PBE | relaxed
data_Cr3Co13
_chemical_formula_sum 'Cr6 Co26'
_space_group_name_H-M_alt 'A m m 2'
_space_group_IT_number 38
_space_group_name_Hall 'A 2 -2'
_cell_length_a 7.0950
_cell_length_b 6.9526
_cell_length_c 7.0473
_cell_angle_alpha 90.00
_cell_angle_beta 90.00
_cell_angle_gamma 90.00
loop_
_atom_site_label
_atom_site_fract_x
_atom_site_fract_y
_atom_site_fract_z
_atom_site_occupancy
Cr1 0.0000 0.0000 0.0000 1
Cr2 0.2560 0.0000 0.2768 1
Co1 0.0000 0.0000 0.5201 1
Co2 0.0000 0.2426 0.2654 1
Co3 0.2483 0.0000 0.7685 1
Co4 0.2501 0.2475 0.0205 1
Co5 0.5000 0.0000 0.0211 1
Co6 0.5000 0.0000 0.5181 1
Co7 0.5000 0.2465 0.7702 1
# - Calculated formation energy: 0.08 eV/atom



Number 1: spin magnetization 0.00 μB/cell. Number 2: spin magnetization 0.00 μB/cell. Number 3: spin magnetization 10.10 μB/cell. Number 4: spin magnetization 2.69 μB/cell. Number 5: spin magnetization 0.00 μB/cell. Number 6: spin magnetization 0.00 μB/cell. Number 7: spin magnetization 0.00 μB/cell. Number 8: spin magnetization 0.00 μB/cell. Number 9: spin magnetization 0.00 μB/cell. Number 10: spin magnetization 11.32 μB/cell. Number 11: spin magnetization 2.39 μB/cell. Number 12: spin magnetization 0.00 μB/cell. Number 13: spin magnetization 42.47 μB/cell. Number 14: spin magnetization 1.96 μB/cell. Number 15: spin magnetization 0.79 μB/cell. Number 16: spin magnetization 1.14 μB/cell. Number 17: spin magnetization 0.00 μB/cell. Number 18: spin magnetization 0.00 μB/cell. Number 19: spin magnetization 0.00 μB/cell. Number 20: spin magnetization 18.50 μB/cell.